1.
## PmZn11Rh (GGA-PBE)

Data for crystalline PmZn11Rh at its relaxed geometry.

The structure belongs to space group C2/m (No. 12); the cell edges are 5.1074, 12.8048 and 6.8441 Å and the angles 90.00°, 111.59° and 90.00°. The inequivalent atoms are Pm at (0.0000, 0.0000, 0.0000), Zn at (0.0000, 0.5000, 0.5000), Zn at (0.1104, 0.3905, 0.2195), Zn at (0.1630, 0.1740, 0.3576), Zn at (0.2500, 0.2500, 0.0000) and Rh at (0.0000, 0.0000, 0.5000).

As for the density of states at the Fermi level: 9.3 states/eV per cell. The energy of formation is -0.2551 eV/atom.

2.
## RbSrGa2Bi2 (GGA-PBE)

Data for crystalline RbSrGa2Bi2 at its relaxed geometry.

The structure belongs to space group P-3m1 (No. 164); the cell edges are 5.2948, 5.2948 and 8.9417 Å and the angles 90.00°, 90.00° and 120.00°. The inequivalent atoms are Rb at (0.0000, 0.0000, 0.0000), Sr at (0.0000, 0.0000, 0.5000), Ga at (0.3333, 0.6667, 0.6551) and Bi at (0.3333, 0.6667, 0.2881).

As for the density of states at the Fermi level: 2.0 states/eV per cell. The energy of formation is -0.3581 eV/atom.

3.
## Pm3HoEr7 (GGA-PBE)

Data for crystalline Pm3HoEr7 at its relaxed geometry.

The structure belongs to space group Immm (No. 71); the cell edges are 5.8019, 11.1059 and 11.1536 Å and the angles 90.00°, 90.00° and 90.00°. The inequivalent atoms are Pm at (0.0000, 0.0000, 0.0000), Pm at (0.0000, 0.5000, 0.2874), Ho at (0.0000, 0.0000, 0.5000), Er at (0.0000, 0.2065, 0.1966), Er at (0.0000, 0.2939, 0.5000) and Er at (0.0000, 0.5000, 0.0000).

As for the density of states at the Fermi level: 30.1 states/eV per cell. The energy of formation is 0.2798 eV/atom.

4.
## PtW2Br (GGA-PBE)

Data for crystalline PtW2Br at its relaxed geometry.

The structure belongs to space group F-43m (No. 216); the cell edges are 6.5010, 6.5010 and 6.5010 Å and the angles 90.00°, 90.00° and 90.00°. The inequivalent atoms are Pt at (0.0000, 0.0000, 0.0000), W at (0.0000, 0.0000, 0.5000), W at (0.2500, 0.2500, 0.2500) and Br at (0.2500, 0.2500, 0.7500).

As for the density of states at the Fermi level: 24.7 states/eV per cell. The formation energy from raw total energies is 1.1468 eV per atom.

5.
## AcLa4Pr (GGA-PBE)

Data for crystalline AcLa4Pr at its relaxed geometry.

The structure belongs to space group C2/m (No. 12); the cell edges are 20.7909, 7.0841 and 6.2171 Å and the angles 90.00°, 90.88° and 90.00°. The inequivalent atoms are Ac at (0.1668, 0.0000, 0.0452), La at (0.0000, 0.2454, 0.0000), La at (0.0876, 0.2436, 0.5098), La at (0.2385, 0.5000, 0.4254) and Pr at (0.1530, 0.5000, 0.9426).

As for the density of states at the Fermi level: 45.5 states/eV per cell. The energy of formation is 0.1492 eV/atom.

6.
## Te2HS (GGA-PBE)

Data for crystalline Te2HS at its relaxed geometry.

The structure belongs to space group Fm-3m (No. 225); the cell edges are 6.8082, 6.8082 and 6.8082 Å and the angles 90.00°, 90.00° and 90.00°. The inequivalent atoms are Te at (0.2500, 0.2500, 0.2500), H at (0.0000, 0.0000, 0.0000) and S at (0.0000, 0.0000, 0.5000).

As for the density of states at the Fermi level: 7.5 states/eV per cell. For the energy, the calculation gives -41.8 eV per cell.

7.
## Ba3GeAs4 (GGA-PBE)

Data for crystalline Ba3GeAs4 at its relaxed geometry.

The structure belongs to space group Pnma (No. 62); the cell edges are 8.8045, 11.1730 and 10.2690 Å and the angles 90.00°, 90.00° and 90.00°. The inequivalent atoms are Ba at (0.0370, 0.0495, 0.1874), Ba at (0.1585, 0.7500, 0.4104), Ge at (0.2303, 0.2500, 0.4480), As at (0.0432, 0.7500, 0.0874), As at (0.1304, 0.0445, 0.5310) and As at (0.2048, 0.7500, 0.7191).

The energy of formation is -0.8488 eV/atom.

8.
## Pm2NdSi2 (GGA-PBE)

Data for crystalline Pm2NdSi2 at its relaxed geometry.

The structure belongs to space group P2_1/m (No. 11); the cell edges are 5.8313, 4.1232 and 11.6234 Å and the angles 90.00°, 94.55° and 90.00°. The inequivalent atoms are Pm at (0.0975, 0.2500, 0.3717), Pm at (0.2526, 0.2500, 0.0579), Nd at (0.3940, 0.2500, 0.7170), Si at (0.2384, 0.7500, 0.8749) and Si at (0.3817, 0.7500, 0.5201).

As for the density of states at the Fermi level: 10.0 states/eV per cell. The formation energy from raw total energies is -0.4848 eV per atom.

9.
## CaMg (GGA-PBE)

Data for crystalline CaMg at its relaxed geometry.

The structure belongs to space group P6_3/mmc (No. 194); the cell edges are 3.6740, 3.6740 and 11.2479 Å and the angles 90.00°, 90.00° and 120.00°. The inequivalent atoms are Ca at (0.0000, 0.0000, 0.0000) and Mg at (0.3333, 0.6667, 0.2500).

As for the density of states at the Fermi level: 3.1 states/eV per cell. The energy of formation is 0.0598 eV/atom.

10.
## KNa2AsI6 (GGA-PBE)

Data for crystalline KNa2AsI6 at its relaxed geometry.

The structure belongs to space group R3 (No. 146, hexagonal axes); the cell edges are 8.0701, 8.0701 and 21.9660 Å and the angles 90.00°, 90.00° and 120.00°. The inequivalent atoms are K at (0.0000, 0.0000, 0.0000), Na at (0.0000, 0.0000, 0.2921), Na at (0.0000, 0.0000, 0.8135), As at (0.0000, 0.0000, 0.4828), I at (0.0085, 0.3075, 0.5587) and I at (0.0333, 0.7341, 0.4039).

As for the density of states at the Fermi level: 0.0 states/eV per cell. The formation energy from raw total energies is -0.8297 eV per atom.

11.
## NaDyNpO6 (GGA-PBE)

Data for crystalline NaDyNpO6 at its relaxed geometry.

The structure belongs to space group P4_2nm (No. 102); the cell edges are 5.1554, 5.1554 and 10.2367 Å and the angles 90.00°, 90.00° and 90.00°. The inequivalent atoms are Na at (0.0000, 0.0000, 0.0000), Dy at (0.0000, 0.0000, 0.6696), Np at (0.0000, 0.0000, 0.3339), O at (0.1760, 0.1760, 0.4833), O at (0.1919, 0.1919, 0.1937) and O at (0.2230, 0.2230, 0.8241).

As for the density of states at the Fermi level: 19.1 states/eV per cell. The formation energy from raw total energies is -2.4766 eV per atom.

12.
## Ni8Bi8S (GGA-PBE)

Data for crystalline Ni8Bi8S at its relaxed geometry.

The structure belongs to space group P2_12_12 (No. 18); the cell edges are 10.2928, 17.9300 and 4.2189 Å and the angles 90.00°, 90.00° and 90.00°. The inequivalent atoms are Ni at (0.0583, 0.1049, 0.0044), Ni at (0.0895, 0.9038, 0.5024), Ni at (0.1732, 0.0522, 0.5046), Ni at (0.1856, 0.9679, 0.0044), Bi at (0.1037, 0.1986, 0.5008), Bi at (0.1533, 0.4377, 0.4986), Bi at (0.1669, 0.8166, 0.0055), Bi at (0.1785, 0.5973, 0.9936) and S at (0.0000, 0.0000, 0.7544).

As for the density of states at the Fermi level: 19.9 states/eV per cell. The formation energy from raw total energies is -0.1142 eV per atom.